(1)
DFT (PBE) results for crystalline PuBr4 at its relaxed geometry.

Computed properties:
- E (eV per atom) = -5.15
- total moment (Bohr magnetons per cell) = 3.99
- energy relative to the elements, uncorrected (eV per atom) = -0.950

Cell lengths 5.650, 5.650, 5.650 Å; angles 90.00, 90.00, 90.00 degrees
Each line ends with the local moment (μB).
Atoms (fractional coordinates):
Br: 0.000 0.000 0.000  0.45
Br: 0.500 0.000 0.500  0.11
Br: 0.000 0.500 0.500  0.11
Br: 0.500 0.500 0.000  0.11
Pu: 0.500 0.500 0.500  -4.95

***

(2)
DFT (PBE) results for crystalline PuBr4 at its relaxed geometry.

Computed properties:
- E (eV per atom) = -5.29
- total moment (Bohr magnetons per cell) = 7.99
- energy relative to the elements, uncorrected (eV per atom) = -1.089

Cell lengths 6.470, 6.470, 6.894 Å; angles 90.00, 90.00, 90.00 degrees
Each line ends with the local moment (μB).
Atoms (fractional coordinates):
Pu: 0.000 0.000 0.000  4.79
Pu: 0.500 0.500 0.500  4.79
Br: 0.178 0.249 0.342  -0.18
Br: 0.822 0.751 0.342  -0.18
Br: 0.249 0.822 0.658  -0.18
Br: 0.751 0.178 0.658  -0.18
Br: 0.322 0.749 0.158  -0.18
Br: 0.678 0.251 0.158  -0.18
Br: 0.251 0.322 0.842  -0.18
Br: 0.749 0.678 0.842  -0.18